Record 1
MgP2Br after structural relaxation. Source: Alexandria via LeMat-Bulk, functional PBE.

Calculated values
Symmetry = F-43m, No. 216
Raw formation energy = 0.37 eV/atom
Energy relative to the lowest polymorph listed for this composition = 0.8052 eV/atom
Mass density = 3647 kg/m³
Calculated total energy = -12.61 eV per cell
M_tot = 0.000 μB per formula unit

Lattice parameters (Å, degrees): 4.7473 4.7473 4.7473 60.00 60.00 60.00
Closest atoms and distances in Å follow each position.
Fractional coordinates of all 4 atoms:
Br1 0.5000 0.5000 0.5000  4 P 2.91, 4 Mg 2.91
Mg1 0.7500 0.7500 0.7500  4 Br 2.91, 4 P 2.91
P1 0.0000 0.0000 0.0000  4 Mg 2.91, 4 P 2.91
P2 0.2500 0.2500 0.2500  4 P 2.91, 4 Br 2.91

***

Record 2
MgPBr after structural relaxation. Source: Alexandria via LeMat-Bulk, functional PBE.

Calculated values
Symmetry = Cm, No. 8
Raw formation energy = -0.73 eV/atom
Energy relative to the lowest polymorph listed for this composition = 0.0633 eV/atom
Mass density = 3095 kg/m³
Calculated total energy = -43.51 eV per cell
M_tot = 0.000 μB per formula unit

Lattice parameters (Å, degrees): 7.2254 3.5330 12.3577 90.00 113.13 90.00
Closest atoms and distances in Å follow each position.
Fractional coordinates of all 12 atoms:
Mg1 0.4433 0.0000 0.6046  3 Br 2.61-2.67, 3 P 2.64-2.71
Mg2 0.4433 0.5000 0.1046  3 Br 2.61-2.67, 3 P 2.64-2.71
Mg3 0.1067 0.0000 0.3424  2 P 2.61-2.69, 2 Br 2.66
Mg4 0.1067 0.5000 0.8424  2 P 2.61-2.69, 2 Br 2.66
P1 0.2147 0.0000 0.1642  2 P 2.31
P2 0.2147 0.5000 0.6642  2 P 2.31
P3 0.0493 0.0000 0.5444  2 P 2.31
P4 0.0493 0.5000 0.0444  2 P 2.31
Br1 0.4626 0.0000 0.9473  4 Mg 2.67-2.97
Br2 0.4626 0.5000 0.4473  4 Mg 2.67-2.97
Br3 0.8067 0.0000 0.7680  3 Mg 2.61-2.66
Br4 0.8067 0.5000 0.2680  3 Mg 2.61-2.66

***

Record 3
MgP2Br after structural relaxation. Source: Alexandria via LeMat-Bulk, functional PBE.

Calculated values
Symmetry = Fm-3m, No. 225
Raw formation energy = 0.65 eV/atom
Energy relative to the lowest polymorph listed for this composition = 1.0864 eV/atom
Mass density = 3540 kg/m³
Calculated total energy = -11.48 eV per cell
M_tot = 0.000 μB per formula unit

Lattice parameters (Å, degrees): 4.7947 4.7947 4.7947 60.00 60.00 60.00
Closest atoms and distances in Å follow each position.
Fractional coordinates of all 4 atoms:
P1 0.2500 0.2500 0.2500  4 Mg 2.94, 4 Br 2.94
P2 0.7500 0.7500 0.7500  4 Br 2.94, 4 Mg 2.94
Mg1 0.0000 0.0000 0.0000  8 P 2.94
Br1 0.5000 0.5000 0.5000  8 P 2.94

***

Record 4
MgP2Br after structural relaxation. Source: Alexandria via LeMat-Bulk, functional PBE.

Calculated values
Symmetry = P2/m, No. 10
Raw formation energy = -0.27 eV/atom
Energy relative to the lowest polymorph listed for this composition = 0.1629 eV/atom
Mass density = 3173 kg/m³
Calculated total energy = -15.18 eV per cell
M_tot = 0.000 μB per formula unit

Lattice parameters (Å, degrees): 5.0938 3.4787 5.1012 74.18 90.00 90.00
Closest atoms and distances in Å follow each position.
Fractional coordinates of all 4 atoms:
Br1 0.5000 0.2500 0.2500  2 Mg 2.67
Mg1 0.5000 0.7500 0.7500  2 Br 2.67, 4 P 2.79
P1 0.0000 0.9456 0.8963  2 P 2.23-2.28
P2 0.0000 0.5544 0.6037  2 P 2.23-2.28

***

Question: The highest calculated total energy belongs to which entry?
Answer: number 3

***

Question: Which value of M_tot does entry 1 give?
Answer: 0.000 μB per formula unit

***

Please write out number 2 again, unchanged.
MgPBr after structural relaxation. Source: Alexandria via LeMat-Bulk, functional PBE.

Calculated values
Symmetry = Cm, No. 8
Raw formation energy = -0.73 eV/atom
Energy relative to the lowest polymorph listed for this composition = 0.0633 eV/atom
Mass density = 3095 kg/m³
Calculated total energy = -43.51 eV per cell
M_tot = 0.000 μB per formula unit

Lattice parameters (Å, degrees): 7.2254 3.5330 12.3577 90.00 113.13 90.00
Closest atoms and distances in Å follow each position.
Fractional coordinates of all 12 atoms:
Mg1 0.4433 0.0000 0.6046  3 Br 2.61-2.67, 3 P 2.64-2.71
Mg2 0.4433 0.5000 0.1046  3 Br 2.61-2.67, 3 P 2.64-2.71
Mg3 0.1067 0.0000 0.3424  2 P 2.61-2.69, 2 Br 2.66
Mg4 0.1067 0.5000 0.8424  2 P 2.61-2.69, 2 Br 2.66
P1 0.2147 0.0000 0.1642  2 P 2.31
P2 0.2147 0.5000 0.6642  2 P 2.31
P3 0.0493 0.0000 0.5444  2 P 2.31
P4 0.0493 0.5000 0.0444  2 P 2.31
Br1 0.4626 0.0000 0.9473  4 Mg 2.67-2.97
Br2 0.4626 0.5000 0.4473  4 Mg 2.67-2.97
Br3 0.8067 0.0000 0.7680  3 Mg 2.61-2.66
Br4 0.8067 0.5000 0.2680  3 Mg 2.61-2.66